TiTl3Ru | the Alexandria database | PBE-GGA | relaxed; DOS(E_F) = 15.5 states/eV/f.u.; energy of formation from the pure elements = 89 kJ/mol of atoms; total DFT energy (no corrections) = -3.93 eV per atom
1.0
5.1869 0.0000 0.0000
0.0000 5.1869 0.0000
0.0000 0.0000 5.1869
Ti Tl Ru
1 3 1
direct
0.0000 0.0000 0.0000
0.0000 0.5000 0.5000
0.5000 0.0000 0.5000
0.5000 0.5000 0.0000
0.5000 0.5000 0.5000

---

TmTiRu4 | the Alexandria database | PBE-GGA | relaxed; DOS(E_F) = 6.5 states/eV/f.u.; energy of formation from the pure elements = -22 kJ/mol of atoms; total DFT energy (no corrections) = -8.47 eV per atom
1.0
0.0000 3.6724 3.6724
3.6724 0.0000 3.6724
3.6724 3.6724 0.0000
Tm Ti Ru
1 1 4
direct
0.0000 0.0000 0.0000
0.7500 0.7500 0.7500
0.3754 0.3754 0.3754
0.3754 0.3754 0.8737
0.3754 0.8737 0.3754
0.8737 0.3754 0.3754

---

TmTiRu2 | the Alexandria database | PBE-GGA | relaxed; DOS(E_F) = 2.6 states/eV/f.u.; energy of formation from the pure elements = -55 kJ/mol of atoms; total DFT energy (no corrections) = -8.30 eV per atom
1.0
3.1901 0.0000 0.0000
0.0000 3.1901 0.0000
0.0000 0.0000 6.5577
Tm Ti Ru
1 1 2
direct
0.0000 0.0000 0.0000
0.0000 0.0000 0.5000
0.5000 0.5000 0.2761
0.5000 0.5000 0.7239

---

TmTi2Ru3 | the Alexandria database | PBE-GGA | relaxed; DOS(E_F) = 1.3 states/eV/f.u.; energy of formation from the pure elements = -62 kJ/mol of atoms; total DFT energy (no corrections) = -8.65 eV per atom
1.0
3.1517 0.0000 0.0000
0.0000 3.1517 0.0000
0.0000 0.0000 9.6560
Tm Ti Ru
1 2 3
direct
0.0000 0.0000 0.0000
0.0000 0.0000 0.3396
0.0000 0.0000 0.6604
0.5000 0.5000 0.1909
0.5000 0.5000 0.5000
0.5000 0.5000 0.8091

---

TmTiRu2 | the Alexandria database | PBE-GGA | relaxed; DOS(E_F) = 2.4 states/eV/f.u.; energy of formation from the pure elements = -48 kJ/mol of atoms; total DFT energy (no corrections) = -8.22 eV per atom
1.0
4.5520 0.0000 0.0000
0.0000 4.5520 0.0000
0.0000 0.0000 3.2181
Tm Ti Ru
1 1 2
direct
0.0000 0.0000 0.0000
0.5000 0.5000 0.0000
0.0000 0.5000 0.5000
0.5000 0.0000 0.5000

---

UTiRu5 | the Alexandria database | PBE-GGA | relaxed; DOS(E_F) = 5.3 states/eV/f.u.; energy of formation from the pure elements = -2 kJ/mol of atoms; total DFT energy (no corrections) = -9.38 eV per atom
1.0
4.2099 0.0000 0.0000
0.0000 4.2099 0.0000
0.0000 0.0000 6.4163
U Ti Ru
1 1 5
direct
0.0000 0.0000 0.0000
0.5000 0.5000 0.5000
0.0000 0.5000 0.2798
0.0000 0.5000 0.7202
0.5000 0.0000 0.2798
0.5000 0.0000 0.7202
0.5000 0.5000 0.0000

---

UTiRu | the Alexandria database | PBE-GGA | relaxed; DOS(E_F) = 4.5 states/eV/f.u.; energy of formation from the pure elements = -29 kJ/mol of atoms; total DFT energy (no corrections) = -9.79 eV per atom
1.0
3.0540 0.0000 0.0000
0.0000 14.1306 0.0000
0.0000 0.0000 4.7160
U Ti Ru
4 4 4
direct
0.0000 0.2406 0.2500
0.0000 0.7594 0.7500
0.5000 0.2594 0.7500
0.5000 0.7406 0.2500
0.0000 0.0721 0.7500
0.0000 0.9279 0.2500
0.5000 0.4279 0.2500
0.5000 0.5721 0.7500
0.0000 0.4246 0.7500
0.0000 0.5754 0.2500
0.5000 0.0754 0.2500
0.5000 0.9246 0.7500

---

TiV4Ru5 | the Alexandria database | PBE-GGA | relaxed; DOS(E_F) = 12.0 states/eV/f.u.; energy of formation from the pure elements = -32 kJ/mol of atoms; total DFT energy (no corrections) = -9.41 eV per atom
1.0
3.0240 0.0000 0.0000
0.0000 3.0240 0.0000
0.0000 0.0000 15.1545
Ti V Ru
1 4 5
direct
0.0000 0.0000 0.0000
0.0000 0.0000 0.2019
0.0000 0.0000 0.4008
0.0000 0.0000 0.5992
0.0000 0.0000 0.7981
0.5000 0.5000 0.1026
0.5000 0.5000 0.3035
0.5000 0.5000 0.5000
0.5000 0.5000 0.6965
0.5000 0.5000 0.8974